SrLaTa | PBE | relaxed

```
data_SrLaTa
_chemical_formula_sum 'Sr2 La2 Ta2'
_symmetry_space_group_name_H-M 'I m m 2'
_symmetry_Int_Tables_number 44
_symmetry_space_group_name_Hall 'I 2 -2'
_cell_length_a 3.3111
_cell_length_b 4.6907
_cell_length_c 12.0682
_cell_angle_alpha 90.00
_cell_angle_beta 90.00
_cell_angle_gamma 90.00
loop_
_atom_site_label
_atom_site_fract_x
_atom_site_fract_y
_atom_site_fract_z
_atom_site_occupancy
Sr1 0.0000 0.0000 0.0000 1
La1 0.0000 0.0000 0.2853 1
Ta1 0.0000 0.0000 0.6837 1
```

The calculation puts the energy of formation from the pure elements at 741 meV per atom. The calculation puts the total magnetization at 0.00 μB/f.u. As for the density of states at the Fermi level: 1.185 states/eV per atom. The calculation puts the energy above the most stable polymorph in this dataset at 77 meV per atom. The density is 7.22 g/cm3.


Mo2W13 | PBE | relaxed

```
data_Mo2W13
_chemical_formula_sum 'Mo2 W13'
_symmetry_space_group_name_H-M 'P -1'
_symmetry_Int_Tables_number 2
_symmetry_space_group_name_Hall '-P 1'
_cell_length_a 5.2932
_cell_length_b 7.0909
_cell_length_c 7.1849
_cell_angle_alpha 73.80
_cell_angle_beta 74.97
_cell_angle_gamma 81.38
loop_
_atom_site_label
_atom_site_fract_x
_atom_site_fract_y
_atom_site_fract_z
_atom_site_occupancy
Mo1 0.0619 0.3295 0.1816 1
W1 0.0000 0.0000 0.5000 1
W2 0.1340 0.6452 0.4060 1
W3 0.1434 0.0501 0.8149 1
W4 0.3213 0.6646 0.0060 1
W5 0.3332 0.4117 0.7316 1
W6 0.3611 0.9905 0.1782 1
W7 0.4760 0.2237 0.4199 1
```

The calculation puts the energy of formation from the pure elements at 321 meV per atom. The calculation puts the total magnetization at 0.00 μB/f.u. As for the density of states at the Fermi level: 0.725 states/eV per atom. The density is 17.20 g/cm3.


RhAuC2Br | PBE | relaxed

```
data_RhAuC2Br
_chemical_formula_sum 'Rh1 Au1 C2 Br1'
_symmetry_space_group_name_H-M 'P 4/m m m'
_symmetry_Int_Tables_number 123
_symmetry_space_group_name_Hall '-P 4 2'
_cell_length_a 3.9676
_cell_length_b 3.9676
_cell_length_c 5.0938
_cell_angle_alpha 90.00
_cell_angle_beta 90.00
_cell_angle_gamma 90.00
loop_
_atom_site_label
_atom_site_fract_x
_atom_site_fract_y
_atom_site_fract_z
_atom_site_occupancy
Rh1 0.0000 0.0000 0.0000 1
Au1 0.5000 0.5000 0.0000 1
C1 0.0000 0.5000 0.5000 1
Br1 0.5000 0.5000 0.5000 1
```

The calculation puts the total magnetization at 0.00 μB/f.u. As for the density of states at the Fermi level: 0.977 states/eV per atom. The formation energy (no corrections) is 15.2 eV per formula unit. The density is 8.36 g/cm3.


AcTbMgCd | PBE | relaxed

```
data_AcTbMgCd
_chemical_formula_sum 'Ac1 Tb1 Mg1 Cd1'
_symmetry_space_group_name_H-M 'P 4 m m'
_symmetry_Int_Tables_number 99
_symmetry_space_group_name_Hall 'P 4 -2'
_cell_length_a 3.9079
_cell_length_b 3.9079
_cell_length_c 7.9863
_cell_angle_alpha 90.00
_cell_angle_beta 90.00
_cell_angle_gamma 90.00
loop_
_atom_site_label
_atom_site_fract_x
_atom_site_fract_y
_atom_site_fract_z
_atom_site_occupancy
Ac1 0.0000 0.0000 0.0000 1
Tb1 0.0000 0.0000 0.5043 1
Mg1 0.5000 0.5000 0.2813 1
Cd1 0.5000 0.5000 0.7135 1
```

The calculation puts the energy of formation from the pure elements at -181 meV per atom. The calculation puts the total magnetization at 0.00 μB/f.u. As for the density of states at the Fermi level: 1.224 states/eV per atom. The calculation puts the energy above the most stable polymorph in this dataset at 0 meV per atom. The density is 7.12 g/cm3.


Ce2SmHg6 | PBE | relaxed

```
data_Ce2SmHg6
_chemical_formula_sum 'Ce4 Sm2 Hg12'
_symmetry_space_group_name_H-M 'C m m m'
_symmetry_Int_Tables_number 65
_symmetry_space_group_name_Hall '-C 2 2'
_cell_length_a 8.7789
_cell_length_b 15.2542
_cell_length_c 3.3945
_cell_angle_alpha 90.00
_cell_angle_beta 90.00
_cell_angle_gamma 90.00
loop_
_atom_site_label
_atom_site_fract_x
_atom_site_fract_y
_atom_site_fract_z
_atom_site_occupancy
Ce1 0.0000 0.1667 0.0000 1
Sm1 0.0000 0.5000 0.0000 1
Hg1 0.1663 0.3339 0.5000 1
Hg2 0.1677 0.0000 0.5000 1
```

The calculation puts the energy of formation from the pure elements at -378 meV per atom. The calculation puts the total magnetization at 2.50 μB/f.u. As for the density of states at the Fermi level: 1.506 states/eV per atom. The density is 11.94 g/cm3.


BaPmSm4Se8 | PBE | relaxed

```
data_BaPmSm4Se8
_chemical_formula_sum 'Ba3 Pm3 Sm12 Se24'
_symmetry_space_group_name_H-M 'R 3 m'
_symmetry_Int_Tables_number 160
_symmetry_space_group_name_Hall 'R 3 -2"'
_cell_length_a 8.7622
_cell_length_b 8.7622
_cell_length_c 21.5237
_cell_angle_alpha 90.00
_cell_angle_beta 90.00
_cell_angle_gamma 120.00
loop_
_atom_site_label
_atom_site_fract_x
_atom_site_fract_y
_atom_site_fract_z
_atom_site_occupancy
Ba1 0.0000 0.0000 0.0000 1
Pm1 0.0000 0.0000 0.6273 1
Sm1 0.0000 0.0000 0.2507 1
Sm2 0.1687 0.3374 0.4584 1
Se1 0.0000 0.0000 0.3829 1
Se2 0.0000 0.0000 0.8591 1
Se3 0.0423 0.5211 0.3815 1
Se4 0.1761 0.3522 0.2062 1
```

The calculation puts the total magnetization at 0.00 μB/f.u. As for the density of states at the Fermi level: 0.270 states/eV per atom. The formation energy (no corrections) is -25.1 eV per formula unit. The density is 5.28 g/cm3.